1.
VASP calculation (PBE) on NpPa2S after structural relaxation.

## Properties
* crystal system: trigonal
* formation energy from raw total energies: -0.325 eV/atom
* total magnetic moment: 11.3 μB/cell
* calculated total energy: -9.340 eV per atom

```
data_NpPa2S
_cell_length_a 3.4152
_cell_length_b 3.4152
_cell_length_c 27.2803
_cell_angle_alpha 90.00
_cell_angle_beta 90.00
_cell_angle_gamma 120.00
_space_group_name_H-M_alt 'R -3 m'
_space_group_IT_number 166
_space_group_name_Hall '-R 3 2"'
loop_
_atom_site_label
_atom_site_fract_x
_atom_site_fract_y
_atom_site_fract_z
Np1 0.0000 0.0000 0.0000
Pa1 0.0000 0.0000 0.2377
S1 0.0000 0.0000 0.5000
```


2.
VASP calculation (PBE) on NpPa3S4 after structural relaxation.

## Properties
* crystal system: monoclinic
* formation energy from raw total energies: -1.559 eV/atom
* total magnetic moment: 9.7 μB/cell
* calculated total energy: -8.801 eV per atom

```
data_NpPa3S4
_cell_length_a 6.6934
_cell_length_b 7.7659
_cell_length_c 6.8039
_cell_angle_alpha 90.00
_cell_angle_beta 109.30
_cell_angle_gamma 90.00
_space_group_name_H-M_alt 'P 1 2/c 1'
_space_group_IT_number 13
loop_
_space_group_symop_operation_xyz
'x,y,z'
'-x,-y,-z'
'-x,y,-z+1/2'
'x,-y,z+1/2'
loop_
_atom_site_label
_atom_site_fract_x
_atom_site_fract_y
_atom_site_fract_z
Np1 0.0000 0.1265 0.2500
Pa1 0.0000 0.3761 0.7500
Pa2 0.5000 0.1252 0.7500
Pa3 0.5000 0.3745 0.2500
S1 0.2460 0.1231 0.9990
S2 0.2488 0.3737 0.4994
```


3.
VASP calculation (PBE) on Np2Pa2S7 after structural relaxation.

## Properties
* crystal system: tetragonal
* formation energy from raw total energies: -1.419 eV/atom
* ΔE to the lowest computed polymorph: 124 meV/atom
* total magnetic moment: 10.0 μB/cell
* calculated total energy: -8.125 eV per atom

```
data_Np2Pa2S7
_cell_length_a 4.5757
_cell_length_b 4.5757
_cell_length_c 12.8916
_cell_angle_alpha 90.00
_cell_angle_beta 90.00
_cell_angle_gamma 90.00
_space_group_name_H-M_alt 'P -4 m 2'
_space_group_IT_number 115
loop_
_space_group_symop_operation_xyz
'x,y,z'
'y,-x,-z'
'-x,-y,z'
'-y,x,-z'
'-x,y,z'
'-y,-x,-z'
'x,-y,z'
'y,x,-z'
loop_
_atom_site_label
_atom_site_fract_x
_atom_site_fract_y
_atom_site_fract_z
Np1 0.0000 0.5000 0.1314
Pa1 0.0000 0.5000 0.6288
S1 0.0000 0.0000 0.2418
S2 0.0000 0.0000 0.5000
S3 0.5000 0.5000 0.0000
S4 0.5000 0.5000 0.2547
S5 0.5000 0.5000 0.5000
```


4.
VASP calculation (PBE) on Np3Pa2S8 after structural relaxation.

## Properties
* crystal system: orthorhombic
* formation energy from raw total energies: -1.376 eV/atom
* total magnetic moment: 6.9 μB/cell
* calculated total energy: -8.363 eV per atom

```
data_Np3Pa2S8
_cell_length_a 9.2993
_cell_length_b 13.1679
_cell_length_c 4.6700
_cell_angle_alpha 90.00
_cell_angle_beta 90.00
_cell_angle_gamma 90.00
_space_group_name_H-M_alt 'C m m m'
_space_group_IT_number 65
_space_group_name_Hall '-C 2 2'
loop_
_atom_site_label
_atom_site_fract_x
_atom_site_fract_y
_atom_site_fract_z
Np1 0.0000 0.0000 0.0000
Np2 0.2224 0.5000 0.5000
Pa1 0.0000 0.2604 0.0000
S1 0.0000 0.1212 0.5000
S2 0.0000 0.3678 0.5000
S3 0.2448 0.1241 0.0000
```


5.
VASP calculation (PBE) on Np2PaS4 after structural relaxation.

## Properties
* crystal system: orthorhombic
* formation energy from raw total energies: -1.423 eV/atom
* ΔE to the lowest computed polymorph: 43 meV/atom
* total magnetic moment: 40.1 μB/cell
* calculated total energy: -8.835 eV per atom

```
data_Np2PaS4
_cell_length_a 3.8557
_cell_length_b 12.9385
_cell_length_c 12.7481
_cell_angle_alpha 90.00
_cell_angle_beta 90.00
_cell_angle_gamma 90.00
_space_group_name_H-M_alt 'C m c m'
_space_group_IT_number 63
_space_group_name_Hall '-C 2c 2'
loop_
_atom_site_label
_atom_site_fract_x
_atom_site_fract_y
_atom_site_fract_z
Np1 0.0000 0.1335 0.0667
Pa1 0.0000 0.3765 0.2500
S1 0.0000 0.0271 0.2500
S2 0.0000 0.2276 0.6270
S3 0.0000 0.5000 0.0000
```


6.
VASP calculation (PBE) on NpPaS2 after structural relaxation.

## Properties
* crystal system: tetragonal
* formation energy from raw total energies: -1.120 eV/atom
* ΔE to the lowest computed polymorph: 397 meV/atom
* total magnetic moment: 6.2 μB/cell
* calculated total energy: -8.793 eV per atom

```
data_NpPaS2
_cell_length_a 3.4115
_cell_length_b 3.4115
_cell_length_c 6.8438
_cell_angle_alpha 90.00
_cell_angle_beta 90.00
_cell_angle_gamma 90.00
_space_group_name_H-M_alt 'P 4/m m m'
_space_group_IT_number 123
_space_group_name_Hall '-P 4 2'
loop_
_atom_site_label
_atom_site_fract_x
_atom_site_fract_y
_atom_site_fract_z
Np1 0.0000 0.0000 0.0000
Pa1 0.0000 0.0000 0.5000
S1 0.5000 0.5000 0.2565
```


7.
VASP calculation (PBE) on Np5Pa2S12 after structural relaxation.

## Properties
* crystal system: monoclinic
* formation energy from raw total energies: -1.332 eV/atom
* total magnetic moment: 3.0 μB/cell
* calculated total energy: -8.344 eV per atom

```
data_Np5Pa2S12
_cell_length_a 14.3615
_cell_length_b 7.8232
_cell_length_c 9.3935
_cell_angle_alpha 90.00
_cell_angle_beta 110.18
_cell_angle_gamma 90.00
_space_group_name_H-M_alt 'C 1 2/m 1'
_space_group_IT_number 12
loop_
_space_group_symop_operation_xyz
'x,y,z'
'-x,-y,-z'
'-x,y,-z'
'x,-y,z'
'x+1/2,y+1/2,z'
'-x+1/2,-y+1/2,-z'
'-x+1/2,y+1/2,-z'
'x+1/2,-y+1/2,z'
loop_
_atom_site_label
_atom_site_fract_x
_atom_site_fract_y
_atom_site_fract_z
Np1 0.0000 0.0000 0.0000
Np2 0.2062 0.5000 0.8977
Np3 0.2363 0.5000 0.4625
Pa1 0.0000 0.2457 0.5000
S1 0.0257 0.5000 0.3219
S2 0.0612 0.0000 0.3401
S3 0.1359 0.2270 0.0058
S4 0.1947 0.2719 0.6511
```


8.
VASP calculation (PBE) on Np2Pa3S8 after structural relaxation.

## Properties
* crystal system: monoclinic
* formation energy from raw total energies: -1.424 eV/atom
* ΔE to the lowest computed polymorph: 53 meV/atom
* total magnetic moment: 26.1 μB/cell
* calculated total energy: -8.146 eV per atom

```
data_Np2Pa3S8
_cell_length_a 13.9623
_cell_length_b 7.9656
_cell_length_c 6.6460
_cell_angle_alpha 90.00
_cell_angle_beta 110.07
_cell_angle_gamma 90.00
_space_group_name_H-M_alt 'C 1 2/m 1'
_space_group_IT_number 12
loop_
_space_group_symop_operation_xyz
'x,y,z'
'-x,-y,-z'
'-x,y,-z'
'x,-y,z'
'x+1/2,y+1/2,z'
'-x+1/2,-y+1/2,-z'
'-x+1/2,y+1/2,-z'
'x+1/2,-y+1/2,z'
loop_
_atom_site_label
_atom_site_fract_x
_atom_site_fract_y
_atom_site_fract_z
Np1 0.2409 0.0000 0.1584
Pa1 0.0000 0.2394 0.5000
Pa2 0.0000 0.5000 0.0000
S1 0.1169 0.0000 0.4162
S2 0.1170 0.5000 0.4260
S3 0.1234 0.2656 0.9183
```


9.
VASP calculation (PBE) on NpPa2S4 after structural relaxation.

## Properties
* crystal system: orthorhombic
* formation energy from raw total energies: -1.462 eV/atom
* ΔE to the lowest computed polymorph: 97 meV/atom
* total magnetic moment: 20.8 μB/cell
* calculated total energy: -8.383 eV per atom

```
data_NpPa2S4
_cell_length_a 3.8055
_cell_length_b 12.8879
_cell_length_c 12.8696
_cell_angle_alpha 90.00
_cell_angle_beta 90.00
_cell_angle_gamma 90.00
_space_group_name_H-M_alt 'C m c m'
_space_group_IT_number 63
_space_group_name_Hall '-C 2c 2'
loop_
_atom_site_label
_atom_site_fract_x
_atom_site_fract_y
_atom_site_fract_z
Np1 0.0000 0.1182 0.2500
Pa1 0.0000 0.3624 0.0637
S1 0.0000 0.0000 0.0000
S2 0.0000 0.2732 0.6324
S3 0.0000 0.4609 0.2500
```


10.
VASP calculation (PBE) on NpPaS2 after structural relaxation.

## Properties
* crystal system: trigonal
* formation energy from raw total energies: -1.340 eV/atom
* ΔE to the lowest computed polymorph: 177 meV/atom
* total magnetic moment: 13.8 μB/cell
* calculated total energy: -9.013 eV per atom

```
data_NpPaS2
_cell_length_a 3.7285
_cell_length_b 3.7285
_cell_length_c 21.3113
_cell_angle_alpha 90.00
_cell_angle_beta 90.00
_cell_angle_gamma 120.00
_space_group_name_H-M_alt 'R 3 m'
_space_group_IT_number 160
_space_group_name_Hall 'R 3 -2"'
loop_
_atom_site_label
_atom_site_fract_x
_atom_site_fract_y
_atom_site_fract_z
Np1 0.0000 0.0000 0.0000
Pa1 0.0000 0.0000 0.8255
S1 0.0000 0.0000 0.2444
S2 0.0000 0.0000 0.4122
```


11.
VASP calculation (PBE) on NpPaS after structural relaxation.

## Properties
* crystal system: orthorhombic
* formation energy from raw total energies: -0.368 eV/atom
* total magnetic moment: 14.7 μB/cell
* calculated total energy: -9.223 eV per atom

```
data_NpPaS
_cell_length_a 3.7790
_cell_length_b 13.2978
_cell_length_c 5.6441
_cell_angle_alpha 90.00
_cell_angle_beta 90.00
_cell_angle_gamma 90.00
_space_group_name_H-M_alt 'C m c 21'
_space_group_IT_number 36
loop_
_space_group_symop_operation_xyz
'x,y,z'
'-x,-y,z+1/2'
'-x,y,z'
'x,-y,z+1/2'
'x+1/2,y+1/2,z'
'-x+1/2,-y+1/2,z+1/2'
'-x+1/2,y+1/2,z'
'x+1/2,-y+1/2,z+1/2'
loop_
_atom_site_label
_atom_site_fract_x
_atom_site_fract_y
_atom_site_fract_z
Np1 0.0000 0.1029 0.0000
Pa1 0.0000 0.2926 0.2758
S1 0.0000 0.0987 0.4932
```


12.
VASP calculation (PBE) on Np2Pa3S8 after structural relaxation.

## Properties
* crystal system: orthorhombic
* formation energy from raw total energies: -1.477 eV/atom
* ΔE to the lowest computed polymorph: 0 meV/atom
* total magnetic moment: 20.7 μB/cell
* calculated total energy: -8.199 eV per atom

```
data_Np2Pa3S8
_cell_length_a 9.3518
_cell_length_b 13.2361
_cell_length_c 4.7276
_cell_angle_alpha 90.00
_cell_angle_beta 90.00
_cell_angle_gamma 90.00
_space_group_name_H-M_alt 'C m m m'
_space_group_IT_number 65
_space_group_name_Hall '-C 2 2'
loop_
_atom_site_label
_atom_site_fract_x
_atom_site_fract_y
_atom_site_fract_z
Np1 0.0000 0.2330 0.0000
Pa1 0.0000 0.5000 0.0000
Pa2 0.2308 0.0000 0.5000
S1 0.0000 0.1252 0.5000
S2 0.0000 0.3828 0.5000
S3 0.2411 0.3786 0.0000
```


Q: What is the formation energy from raw total energies in the eleventh record?
A: -0.368 eV/atom